# 1
The following is a DFT calculation (PBE-GGA) of a geometry-optimized Tc2Br structure.

Results
**E_tot**: -6.20 eV per atom
**Excess energy over the best structure of this formula in the dataset**: 1164.9 meV/atom
**Energy relative to the elements, uncorrected**: 1272 meV per atom
**DOS at the Fermi energy**: 3.785 states/eV/f.u.
**V**: 424.3 Å³ per cell

Cell: 7.514 7.514 7.514 Å, 90.00 90.00 90.00°
Space group Fd-3m (No. 227, origin choice 2)
One atom of each set of equivalent atoms:
Tc 0.000 0.000 0.000 x16
Br 0.125 0.125 0.625 x8

***

# 2
The following is a DFT calculation (PBE-GGA) of a geometry-optimized TcBr7 structure.

Results
**E_tot**: -1.97 eV per atom
**Energy relative to the elements, uncorrected**: 788 meV per atom
**DOS at the Fermi energy**: 11.010 states/eV/f.u.
**V**: 832.7 Å³ per cell

Cell: 9.408 9.408 9.408 Å, 90.00 90.00 90.00°
Space group Fm-3m (No. 225)
One atom of each set of equivalent atoms:
Tc 0.000 0.000 0.000 x4
Br 0.000 0.000 0.500 x4
Br 0.000 0.250 0.250 x24

***

# 3
The following is a DFT calculation (PBE-GGA) of a geometry-optimized Tc2Br structure.

Results
**E_tot**: -6.29 eV per atom
**Excess energy over the best structure of this formula in the dataset**: 1075.0 meV/atom
**Energy relative to the elements, uncorrected**: 1182 meV per atom
**DOS at the Fermi energy**: 2.824 states/eV/f.u.
**V**: 144.5 Å³ per cell

Cell: 6.4141 6.4141 4.0561 Å, 90.00 90.00 120.00°
Space group P-62m (No. 189)
One atom of each set of equivalent atoms:
Tc 0.0000 0.2700 0.0000 x3
Tc 0.0000 0.6244 0.5000 x3
Br 0.0000 0.0000 0.5000 x1
Br 0.3333 0.6667 0.0000 x2

***

# 4
The following is a DFT calculation (PBE-GGA) of a geometry-optimized Tc8Br structure.

Results
**E_tot**: -9.09 eV per atom
**Energy relative to the elements, uncorrected**: 314 meV per atom
**DOS at the Fermi energy**: 7.180 states/eV/f.u.
**V**: 279.8 Å³ per cell

Cell: 8.392 8.392 3.973 Å, 90.00 90.00 90.00°
Space group I4/mmm (No. 139)
One atom of each set of equivalent atoms:
Tc 0.000 0.348 0.000 x8
Tc 0.186 0.186 0.500 x8
Br 0.000 0.000 0.000 x2

***

# 5
The following is a DFT calculation (PBE-GGA) of a geometry-optimized TcBr3 structure.

Results
**E_tot**: -4.19 eV per atom
**Excess energy over the best structure of this formula in the dataset**: 12.2 meV/atom
**Energy relative to the elements, uncorrected**: -343 meV per atom
**DOS at the Fermi energy**: 2.787 states/eV/f.u.
**V**: 269.7 Å³ per cell

Cell: 7.1335 7.1335 6.1204 Å, 90.00 90.00 120.00°
Space group P6_3/mcm (No. 193)
One atom of each set of equivalent atoms:
Tc 0.0000 0.0000 0.0000 x2
Br 0.0000 0.2842 0.2500 x6

***

# 6
The following is a DFT calculation (PBE-GGA) of a geometry-optimized TcBr3 structure.

Results
**E_tot**: -3.63 eV per atom
**Excess energy over the best structure of this formula in the dataset**: 575.4 meV/atom
**Energy relative to the elements, uncorrected**: 221 meV per atom
**DOS at the Fermi energy**: 2.159 states/eV/f.u.
**V**: 459.0 Å³ per cell

Cell: 9.1113 9.1113 6.3843 Å, 90.00 90.00 120.00°
Space group P6_3/mmc (No. 194)
One atom of each set of equivalent atoms:
Tc 0.0000 0.0000 0.0000 x2
Tc 0.3333 0.6667 0.2500 x2
Br 0.0000 0.5000 0.0000 x6
Br 0.1228 0.2457 0.7500 x6

***

# 7
The following is a DFT calculation (PBE-GGA) of a geometry-optimized TcBr3 structure.

Results
**E_tot**: -3.40 eV per atom
**Excess energy over the best structure of this formula in the dataset**: 798.4 meV/atom
**Energy relative to the elements, uncorrected**: 444 meV per atom
**DOS at the Fermi energy**: 3.496 states/eV/f.u.
**V**: 310.1 Å³ per cell

Cell: 3.0857 3.0857 37.6079 Å, 90.00 90.00 120.00°
Space group R-3m (No. 166, hexagonal axes)
One atom of each set of equivalent atoms:
Tc 0.0000 0.0000 0.0000 x3
Br 0.0000 0.0000 0.0632 x6
Br 0.0000 0.0000 0.5000 x3

***

# 8
The following is a DFT calculation (PBE-GGA) of a geometry-optimized Tc5Br structure.

Results
**E_tot**: -8.47 eV per atom
**Excess energy over the best structure of this formula in the dataset**: 59.4 meV/atom
**Energy relative to the elements, uncorrected**: 444 meV per atom
**DOS at the Fermi energy**: 6.238 states/eV/f.u.
**V**: 183.8 Å³ per cell

Cell: 4.391 2.872 14.576 Å, 90.00 90.00 90.00°
Space group Amm2 (No. 38)
One atom of each set of equivalent atoms:
Tc 0.000 0.000 0.000 x2
Tc 0.000 0.000 0.318 x2
Tc 0.000 0.000 0.657 x2
Tc 0.500 0.000 0.108 x2
Tc 0.500 0.000 0.758 x2
Br 0.500 0.000 0.429 x2

***

# 9
The following is a DFT calculation (PBE-GGA) of a geometry-optimized Tc2Br structure.

Results
**E_tot**: -6.65 eV per atom
**Excess energy over the best structure of this formula in the dataset**: 707.5 meV/atom
**Energy relative to the elements, uncorrected**: 814 meV per atom
**DOS at the Fermi energy**: 2.524 states/eV/f.u.
**V**: 46.9 Å³ per cell

Cell: 4.2577 4.2577 2.9881 Å, 90.00 90.00 120.00°
Space group P-3m1 (No. 164)
One atom of each set of equivalent atoms:
Tc 0.3333 0.6667 0.2514 x2
Br 0.0000 0.0000 0.0000 x1

***

# 10
The following is a DFT calculation (PBE-GGA) of a geometry-optimized Tc2Br structure.

Results
**E_tot**: -7.36 eV per atom
**Excess energy over the best structure of this formula in the dataset**: 0.0 meV/atom
**Energy relative to the elements, uncorrected**: 107 meV per atom
**DOS at the Fermi energy**: 1.328 states/eV/f.u.
**V**: 242.9 Å³ per cell

Cell: 3.053 19.076 4.171 Å, 90.00 90.00 90.00°
Space group Cmcm (No. 63)
One atom of each set of equivalent atoms:
Tc 0.000 0.037 0.250 x4
Tc 0.000 0.423 0.250 x4
Br 0.000 0.334 0.750 x4

***

# 11
The following is a DFT calculation (PBE-GGA) of a geometry-optimized TcBr3 structure.

Results
**E_tot**: -3.10 eV per atom
**Excess energy over the best structure of this formula in the dataset**: 1100.8 meV/atom
**Energy relative to the elements, uncorrected**: 746 meV per atom
**DOS at the Fermi energy**: 2.918 states/eV/f.u.
**V**: 383.7 Å³ per cell

Cell: 7.267 7.267 7.267 Å, 90.00 90.00 90.00°
Space group Fm-3m (No. 225)
One atom of each set of equivalent atoms:
Tc 0.000 0.000 0.000 x4
Br 0.000 0.000 0.500 x4
Br 0.250 0.250 0.250 x8

***

# 12
The following is a DFT calculation (PBE-GGA) of a geometry-optimized TcBr3 structure.

Results
**E_tot**: -4.05 eV per atom
**Excess energy over the best structure of this formula in the dataset**: 154.8 meV/atom
**Energy relative to the elements, uncorrected**: -200 meV per atom
**DOS at the Fermi energy**: 0.032 states/eV/f.u.
**V**: 253.6 Å³ per cell

Cell: 3.705 8.330 8.467 Å, 83.27 79.78 82.10°
Space group P-1 (No. 2)
One atom of each set of equivalent atoms:
Tc 0.023 0.075 0.385 x2
Br 0.118 0.380 0.937 x2
Br 0.373 0.044 0.779 x2
Br 0.446 0.281 0.419 x2

***

# 13
The following is a DFT calculation (PBE-GGA) of a geometry-optimized TcBr3 structure.

Results
**E_tot**: -3.74 eV per atom
**Excess energy over the best structure of this formula in the dataset**: 462.8 meV/atom
**Energy relative to the elements, uncorrected**: 108 meV per atom
**DOS at the Fermi energy**: 2.580 states/eV/f.u.
**V**: 297.7 Å³ per cell

Cell: 3.6169 3.6169 26.2776 Å, 90.00 90.00 120.00°
Space group R-3m (No. 166, hexagonal axes)
One atom of each set of equivalent atoms:
Tc 0.0000 0.0000 0.0000 x3
Br 0.0000 0.0000 0.2754 x6
Br 0.0000 0.0000 0.5000 x3

***

# 14
The following is a DFT calculation (PBE-GGA) of a geometry-optimized Tc2Br structure.

Results
**E_tot**: -6.03 eV per atom
**Excess energy over the best structure of this formula in the dataset**: 1332.6 meV/atom
**Energy relative to the elements, uncorrected**: 1439 meV per atom
**DOS at the Fermi energy**: 4.489 states/eV/f.u.
**V**: 200.9 Å³ per cell

Cell: 5.857 5.857 5.857 Å, 90.00 90.00 90.00°
Space group Fm-3m (No. 225)
One atom of each set of equivalent atoms:
Tc 0.250 0.250 0.250 x8
Br 0.000 0.000 0.000 x4

***

# 15
The following is a DFT calculation (PBE-GGA) of a geometry-optimized Tc2Br structure.

Results
**E_tot**: -6.20 eV per atom
**Excess energy over the best structure of this formula in the dataset**: 1158.4 meV/atom
**Energy relative to the elements, uncorrected**: 1265 meV per atom
**DOS at the Fermi energy**: 3.976 states/eV/f.u.
**V**: 95.2 Å³ per cell

Cell: 4.4914 4.4914 5.4500 Å, 90.00 90.00 120.00°
Space group P6_3/mmc (No. 194)
One atom of each set of equivalent atoms:
Tc 0.0000 0.0000 0.0000 x2
Tc 0.3333 0.6667 0.2500 x2
Br 0.3333 0.6667 0.7500 x2

***

# 16
The following is a DFT calculation (PBE-GGA) of a geometry-optimized TcBr3 structure.

Results
**E_tot**: -4.20 eV per atom
**Excess energy over the best structure of this formula in the dataset**: 0.0 meV/atom
**Energy relative to the elements, uncorrected**: -355 meV per atom
**DOS at the Fermi energy**: 2.835 states/eV/f.u.
**V**: 525.6 Å³ per cell

Cell: 6.038 12.263 7.099 Å, 90.00 90.00 90.00°
Space group Pmmn (No. 59, origin choice 2)
One atom of each set of equivalent atoms:
Tc 0.028 0.250 0.247 x4
Br 0.250 0.098 0.398 x4
Br 0.250 0.250 0.944 x2
Br 0.250 0.613 0.890 x4
Br 0.250 0.750 0.480 x2

***

# 17
The following is a DFT calculation (PBE-GGA) of a geometry-optimized Tc2Br structure.

Results
**E_tot**: -7.00 eV per atom
**Excess energy over the best structure of this formula in the dataset**: 362.1 meV/atom
**Energy relative to the elements, uncorrected**: 469 meV per atom
**DOS at the Fermi energy**: 2.129 states/eV/f.u.
**V**: 98.7 Å³ per cell

Cell: 2.995 2.995 11.005 Å, 90.00 90.00 90.00°
Space group I4/mmm (No. 139)
One atom of each set of equivalent atoms:
Tc 0.000 0.000 0.182 x4
Br 0.000 0.000 0.500 x2

***

# 18
The following is a DFT calculation (PBE-GGA) of a geometry-optimized TcBr3 structure.

Results
**E_tot**: -3.46 eV per atom
**Excess energy over the best structure of this formula in the dataset**: 745.9 meV/atom
**Energy relative to the elements, uncorrected**: 391 meV per atom
**DOS at the Fermi energy**: 4.552 states/eV/f.u.
**V**: 96.2 Å³ per cell

Cell: 3.171 3.171 9.569 Å, 90.00 90.00 90.00°
Space group P4/mmm (No. 123)
One atom of each set of equivalent atoms:
Tc 0.000 0.000 0.000 x1
Br 0.000 0.000 0.500 x1
Br 0.500 0.500 0.163 x2

***

# 19
The following is a DFT calculation (PBE-GGA) of a geometry-optimized TcBr3 structure.

Results
**E_tot**: -3.03 eV per atom
**Excess energy over the best structure of this formula in the dataset**: 1174.7 meV/atom
**Energy relative to the elements, uncorrected**: 820 meV per atom
**DOS at the Fermi energy**: 4.108 states/eV/f.u.
**V**: 337.8 Å³ per cell

Cell: 9.2923 9.2923 4.5179 Å, 90.00 90.00 120.00°
Space group R-3m (No. 166, hexagonal axes)
One atom of each set of equivalent atoms:
Tc 0.0000 0.0000 0.0000 x3
Br 0.0000 0.5000 0.0000 x9

***

# 20
The following is a DFT calculation (PBE-GGA) of a geometry-optimized Tc2Br structure.

Results
**E_tot**: -6.74 eV per atom
**Excess energy over the best structure of this formula in the dataset**: 622.1 meV/atom
**Energy relative to the elements, uncorrected**: 729 meV per atom
**DOS at the Fermi energy**: 2.941 states/eV/f.u.
**V**: 220.4 Å³ per cell

Cell: 4.696 4.795 9.788 Å, 90.00 90.00 90.00°
Space group Imma (No. 74)
One atom of each set of equivalent atoms:
Tc 0.000 0.250 0.047 x4
Tc 0.000 0.250 0.295 x4
Br 0.000 0.250 0.615 x4